No. 1
{"formula": "Y2InCu", "functional": "PBE-GGA", "state": "optimized geometry", "spacegroup": "Imm2, No. 44", "total_energy_ev_per_cell": -20.83, "lattice": [[-4.066, -4.762, 0.060], [-1.549, -3.013, -5.266], [4.562, 1.738, 3.921]], "species": ["Y", "Y", "Cu", "In"], "frac_coords": [[0.001, 0.001, 0.000], [0.716, 0.216, 0.500], [0.489, 0.489, 0.000], [0.294, 0.794, 0.500]]}

=====

No. 2
{"formula": "LiAcPmPt", "functional": "PBE-GGA", "state": "optimized geometry", "spacegroup": "F-43m, No. 216", "total_energy_ev_per_cell": -18.73, "lattice": [[5.285, 0.000, 0.000], [2.642, 4.577, 0.000], [2.642, 1.526, 4.315]], "species": ["Ac", "Pt", "Li", "Pm"], "frac_coords": [[0.000, 0.000, 0.000], [0.750, 0.750, 0.750], [0.250, 0.250, 0.250], [0.500, 0.500, 0.500]]}

=====

No. 3
{"formula": "NaHo6Te8", "functional": "PBE-GGA", "state": "optimized geometry", "spacegroup": "P-3, No. 147", "total_energy_ev_per_cell": -72.79, "lattice": [[4.462, 0.000, 0.000], [0.000, 11.502, 0.000], [0.000, -5.751, 9.961]], "species": ["Te", "Te", "Te", "Ho", "Te", "Te", "Ho", "Ho", "Te", "Ho", "Ho", "Te", "Na", "Te", "Ho"], "frac_coords": [[0.750, 0.043, 0.699], [0.750, 0.656, 0.957], [0.250, 0.699, 0.656], [0.250, 0.487, 0.352], [0.250, 0.957, 0.301], [0.750, 0.667, 0.333], [0.250, 0.865, 0.513], [0.750, 0.513, 0.648], [0.250, 0.333, 0.667], [0.750, 0.135, 0.487], [0.750, 0.352, 0.865], [0.750, 0.301, 0.344], [0.500, 0.000, 0.000], [0.250, 0.344, 0.043], [0.250, 0.648, 0.135]]}

=====

No. 4
{"formula": "WAuSe", "functional": "PBE-GGA", "state": "optimized geometry", "spacegroup": "I4mm, No. 107", "total_energy_ev_per_cell": -18.99, "lattice": [[-5.542, -1.112, 4.063], [-3.169, -4.647, 4.102], [5.436, 3.623, -2.406]], "species": ["Se", "Au", "W"], "frac_coords": [[0.291, 0.291, 0.000], [0.033, 0.033, 0.000], [0.676, 0.676, 0.000]]}

=====

No. 5
{"formula": "Nd3AgBi", "functional": "PBE-GGA", "state": "optimized geometry", "spacegroup": "C2/c, No. 15", "total_energy_ev_per_cell": -90.34, "lattice": [[5.219, 0.586, 0.523], [1.445, 11.312, -0.550], [1.445, 0.737, 11.301]], "species": ["Nd", "Nd", "Ag", "Nd", "Nd", "Bi", "Ag", "Bi", "Nd", "Nd", "Bi", "Nd", "Nd", "Nd", "Bi", "Nd", "Ag", "Ag", "Nd", "Nd"], "frac_coords": [[0.132, 0.697, 0.536], [0.627, 0.207, 0.040], [0.250, 0.753, 0.247], [0.634, 0.866, 0.366], [0.868, 0.303, 0.464], [0.504, 0.839, 0.652], [0.750, 0.247, 0.753], [0.004, 0.652, 0.839], [0.366, 0.134, 0.634], [0.866, 0.634, 0.134], [0.496, 0.161, 0.348], [0.368, 0.464, 0.303], [0.632, 0.536, 0.697], [0.134, 0.366, 0.866], [0.996, 0.348, 0.161], [0.873, 0.960, 0.793], [0.750, 0.919, 0.081], [0.250, 0.081, 0.919], [0.127, 0.040, 0.207], [0.373, 0.793, 0.960]]}

=====

No. 6
{"formula": "TmAsPdAu", "functional": "PBE-GGA", "state": "optimized geometry", "spacegroup": "F-43m, No. 216", "total_energy_ev_per_cell": -20.30, "lattice": [[4.760, 0.000, 0.000], [2.380, 4.122, 0.000], [2.380, 1.374, 3.886]], "species": ["Pd", "As", "Au", "Tm"], "frac_coords": [[0.250, 0.250, 0.250], [0.000, 0.000, 0.000], [0.500, 0.500, 0.500], [0.750, 0.750, 0.750]]}

=====

No. 7
{"formula": "SrCaS", "functional": "PBE-GGA", "state": "optimized geometry", "spacegroup": "P3m1, No. 156", "total_energy_ev_per_cell": -11.77, "lattice": [[4.116, 0.000, 0.000], [-2.058, 3.564, 0.000], [0.000, 0.000, 6.901]], "species": ["S", "Sr", "Ca"], "frac_coords": [[0.667, 0.333, 0.347], [0.000, 0.000, 0.076], [0.333, 0.667, 0.577]]}

=====

No. 8
{"formula": "PrSmY3Tm", "functional": "PBE-GGA", "state": "optimized geometry", "spacegroup": "Cmcm, No. 63", "total_energy_ev_per_cell": -66.44, "lattice": [[5.080, 0.000, 0.000], [-2.540, 7.623, 0.000], [0.000, 0.000, 10.158]], "species": ["Y", "Y", "Pr", "Y", "Y", "Tm", "Sm", "Pr", "Y", "Sm", "Tm", "Y"], "frac_coords": [[0.332, 0.665, 0.500], [0.168, 0.336, 0.750], [0.000, 0.000, 0.000], [0.332, 0.665, 0.000], [0.832, 0.664, 0.250], [0.833, 0.665, 0.750], [0.499, 0.998, 0.750], [0.000, 0.000, 0.500], [0.668, 0.335, 0.000], [0.501, 0.002, 0.250], [0.167, 0.335, 0.250], [0.668, 0.335, 0.500]]}

=====

No. 9
{"formula": "KSb2TeAs", "functional": "PBE-GGA", "state": "optimized geometry", "spacegroup": "P4/mmm, No. 123", "total_energy_ev_per_cell": -9.86, "lattice": [[5.950, 0.000, 0.000], [0.000, 5.950, 0.000], [0.000, 0.000, 5.850]], "species": ["Sb", "Te", "K", "As", "Sb"], "frac_coords": [[0.000, 0.500, 0.000], [0.000, 0.000, 0.500], [0.000, 0.000, 0.000], [0.500, 0.500, 0.500], [0.500, 0.000, 0.000]]}

=====

No. 10
{"formula": "MgSb2S4", "functional": "PBE-GGA", "state": "optimized geometry", "spacegroup": "I-42m, No. 121", "total_energy_ev_per_cell": -28.96, "lattice": [[-4.892, -2.048, -4.076], [3.782, -5.163, -1.944], [-0.988, 1.352, 5.994]], "species": ["Sb", "Mg", "S", "Sb", "S", "S", "S"], "frac_coords": [[0.750, 0.250, 0.500], [0.500, 0.500, 0.000], [0.635, 0.635, 0.782], [0.250, 0.750, 0.500], [0.147, 0.147, 0.782], [0.365, 0.853, 0.218], [0.853, 0.365, 0.218]]}

=====

No. 11
{"formula": "Ce6ZnRu5", "functional": "PBE-GGA", "state": "optimized geometry", "spacegroup": "C2/m, No. 12", "total_energy_ev_per_cell": -85.89, "lattice": [[7.028, -0.007, 0.000], [1.966, 6.778, 0.000], [0.983, 3.389, 5.625]], "species": ["Ce", "Ru", "Ru", "Ru", "Ru", "Ce", "Ce", "Ce", "Ru", "Zn", "Ce", "Ce"], "frac_coords": [[0.275, 0.907, 0.648], [0.000, 0.686, 0.627], [0.000, 0.314, 0.373], [0.500, 0.131, 0.738], [0.500, 0.500, 0.000], [0.275, 0.555, 0.352], [0.772, 0.712, 0.000], [0.725, 0.093, 0.352], [0.500, 0.869, 0.262], [0.000, 0.000, 0.000], [0.228, 0.288, 0.000], [0.725, 0.445, 0.648]]}

=====

No. 12
{"formula": "YReSb", "functional": "PBE-GGA", "state": "optimized geometry", "spacegroup": "F-43m, No. 216", "total_energy_ev_per_cell": -22.45, "lattice": [[4.670, 0.000, 0.000], [2.335, 4.045, 0.000], [2.335, 1.348, 3.813]], "species": ["Y", "Sb", "Re"], "frac_coords": [[0.500, 0.500, 0.500], [0.000, 0.000, 0.000], [0.250, 0.250, 0.250]]}

=====

Calculated size of the total moment in order - 0.59; 0.00; 0.08; 0.00; 0.00; 0.00; 0.01; 0.00; 1.87; 0.00; 0.00; 0.00 μB per formula unit